No. 1
Material: VO
Method: DFT, PBE with a Hubbard U
State: optimized geometry

```
VO
1.0
3.1897 0.0000 0.0000
-1.5949 2.7624 0.0000
0.0000 0.0000 5.9351
V O
2 2
Cartesian
0.0000 1.8416 0.0000 V
1.5949 0.9208 2.9676 V
0.0000 1.8416 3.8867 O
1.5949 0.9208 0.9192 O
```

VASP energy, eV/atom: -7.50
Total magnetic moment, μB/cell: 6.0



No. 2
Material: VO
Method: DFT, PBE with a Hubbard U
State: optimized geometry

```
VO
1.0
5.6558 0.0000 0.0000
0.0000 5.7493 0.0000
0.0000 0.0000 5.8187
V O
8 8
Cartesian
0.8509 0.6609 0.4796 V
1.2549 2.3144 3.9642 V
1.5730 3.4349 1.0548 V
1.9770 5.0884 3.3890 V
3.6788 2.2137 5.3391 V
4.0828 0.5603 1.8545 V
4.4010 5.1890 4.7639 V
4.8049 3.5355 2.4298 V
0.4397 1.9142 2.0074 O
0.5686 0.3581 4.3700 O
2.2593 5.3912 1.4606 O
2.3882 3.8351 4.9167 O
3.2676 0.9604 3.8114 O
3.3966 2.5165 1.4487 O
5.0872 3.2327 4.3581 O
5.2162 4.7888 0.9020 O
```

VASP energy, eV/atom: -7.46
Total magnetic moment, μB/cell: 16.0



No. 3
Material: V4O9
Method: DFT, PBE with a Hubbard U
State: optimized geometry

```
V4O9
1.0
18.1301 0.0000 0.0000
0.0000 3.6980 0.0000
0.0000 0.0000 9.6172
V O
16 36
Cartesian
0.1811 0.9245 2.2378 V
1.4273 2.7735 4.4918 V
3.0198 2.7735 7.7347 V
3.3357 0.9245 0.5086 V
5.7294 2.7735 5.3172 V
6.0453 0.9245 2.9261 V
7.6378 0.9245 9.3004 V
8.8840 2.7735 7.0464 V
9.2461 0.9245 2.5708 V
10.4923 2.7735 0.3167 V
12.0848 2.7735 6.6910 V
12.4008 0.9245 4.3000 V
14.7944 2.7735 9.1086 V
15.1104 0.9245 1.8824 V
16.7029 0.9245 5.1253 V
17.9491 2.7735 7.3794 V
0.4052 2.7735 2.7033 O
0.8003 2.7735 8.6907 O
0.8945 0.9245 4.3123 O
1.5597 2.7735 6.3151 O
1.8839 0.9245 1.4679 O
2.8069 0.9245 8.2621 O
2.9743 2.7735 4.0371 O
3.6634 2.7735 9.5951 O
4.3377 2.7735 6.6517 O
4.7274 0.9245 1.8431 O
5.4017 0.9245 4.7865 O
6.0908 0.9245 8.8457 O
6.2582 2.7735 3.4536 O
7.1812 2.7735 6.2765 O
7.5053 0.9245 1.5065 O
8.1706 2.7735 9.1209 O
8.2647 0.9245 3.8821 O
8.6599 0.9245 7.5119 O
9.4702 2.7735 2.1053 O
9.8654 2.7735 5.7351 O
9.9595 0.9245 0.4963 O
10.6248 2.7735 8.1106 O
10.9489 0.9245 3.3407 O
11.8719 0.9245 6.1636 O
12.0394 2.7735 0.7715 O
12.7285 2.7735 4.8306 O
13.4027 2.7735 7.7741 O
13.7924 0.9245 2.9655 O
14.4667 0.9245 0.0221 O
15.1558 0.9245 5.5801 O
15.3233 2.7735 1.3550 O
16.2462 2.7735 8.1493 O
16.5704 0.9245 3.3020 O
17.2357 2.7735 5.3049 O
17.3298 0.9245 0.9265 O
17.7250 0.9245 6.9139 O
```

VASP energy, eV/atom: -7.59
Total magnetic moment, μB/cell: 8.0



No. 4
Material: V8O
Method: DFT, PBE with a Hubbard U
State: optimized geometry

```
V8O
1.0
9.1440 0.0000 0.0000
0.0000 9.1440 0.0000
0.0000 0.0000 3.0806
V O
16 2
Cartesian
0.9976 3.4539 0.0000 V
1.0768 1.0768 1.5403 V
1.1181 5.5695 1.5403 V
1.4426 7.7014 0.0000 V
3.1294 3.1294 1.5403 V
3.4539 0.9976 0.0000 V
3.4951 5.6488 0.0000 V
3.5744 8.0259 1.5403 V
5.5695 1.1181 1.5403 V
5.6488 3.4951 0.0000 V
5.6901 8.1464 0.0000 V
6.0146 6.0146 1.5403 V
7.7014 1.4426 0.0000 V
8.0259 3.5744 1.5403 V
8.0671 8.0671 1.5403 V
8.1464 5.6901 0.0000 V
0.0000 0.0000 0.0000 O
4.5720 4.5720 1.5403 O
```

VASP energy, eV/atom: -6.27
Total magnetic moment, μB/cell: 2.9



No. 5
Material: V9O13
Method: DFT, PBE with a Hubbard U
State: optimized geometry

```
V9O13
1.0
5.1694 -1.4690 0.0000
5.1694 1.4690 0.0000
-2.9140 0.0000 17.3787
V O
9 13
Cartesian
0.0000 0.0000 0.0000 V
-0.0937 0.0000 9.4450 V
-0.2275 0.0000 15.9407 V
2.6504 0.0000 10.8491 V
2.3740 0.0000 14.2747 V
5.0508 0.0000 3.1040 V
4.7744 0.0000 6.5296 V
7.6524 0.0000 1.4379 V
7.5185 0.0000 7.9336 V
-1.3141 0.0000 11.0695 O
-1.5509 0.0000 14.3830 O
0.9871 0.0000 1.9871 O
0.8887 0.0000 7.4801 O
3.7312 0.0000 0.4713 O
1.8455 0.0000 12.6689 O
3.7124 0.0000 8.6893 O
5.5794 0.0000 4.7097 O
3.6937 0.0000 16.9074 O
6.5362 0.0000 9.8986 O
6.4378 0.0000 15.3915 O
8.9757 0.0000 2.9956 O
8.7390 0.0000 6.3092 O
```

VASP energy, eV/atom: -7.81
Total magnetic moment, μB/cell: 19.0



No. 6
Material: VO
Method: DFT, PBE with a Hubbard U
State: optimized geometry

```
VO
1.0
7.3357 0.0000 0.0000
-3.6678 6.3529 0.0000
0.0000 0.0000 3.1772
V O
6 6
Cartesian
-1.5214 4.1254 0.7943 V
0.8558 2.9726 0.7943 V
3.0023 0.7452 2.3829 V
0.6656 5.6077 0.7943 V
2.8120 3.3803 2.3829 V
5.1892 2.2275 2.3829 V
-0.9995 2.1618 0.7943 O
-1.2960 6.1376 0.7943 O
1.3724 1.9465 2.3829 O
2.2954 4.4064 0.7943 O
4.9638 0.2153 2.3829 O
4.6673 4.1911 2.3829 O
```

VASP energy, eV/atom: -7.17
Total magnetic moment, μB/cell: 0.0



No. 7
Material: VO
Method: DFT, PBE with a Hubbard U
State: optimized geometry

```
VO
1.0
6.1177 0.0000 0.0000
0.0000 6.1177 0.0000
0.0000 0.0000 3.0951
V O
4 4
Cartesian
1.1256 1.1256 0.0000 V
1.9333 4.1844 1.5475 V
4.1844 1.9333 1.5475 V
4.9921 4.9921 0.0000 V
0.9519 5.1658 0.0000 O
2.1069 2.1069 1.5475 O
4.0108 4.0108 1.5475 O
5.1658 0.9519 0.0000 O
```

VASP energy, eV/atom: -7.42
Total magnetic moment, μB/cell: 11.8



No. 8
Material: VO
Method: DFT, PBE with a Hubbard U
State: optimized geometry

```
VO
1.0
4.8093 -2.1053 0.0000
4.8093 2.1053 0.0000
-2.0224 0.0000 5.6387
V O
5 5
Cartesian
0.0000 0.0000 0.0000 V
1.8794 0.0000 3.8272 V
3.0357 0.0000 1.0013 V
4.5604 0.0000 4.6374 V
5.7167 0.0000 1.8115 V
0.0000 0.0000 4.8017 O
1.1380 0.0000 1.8544 O
3.7980 0.0000 2.8194 O
6.4580 0.0000 3.7843 O
7.5960 0.0000 0.8370 O
```

VASP energy, eV/atom: -7.71
Total magnetic moment, μB/cell: 7.0



Among the records above, which one has the highest total magnetic moment?
V9O13



Which of these has the highest total magnetic moment?
V9O13



The highest VASP energy belongs to which entry?
V8O